Computed, not measured: TbEr6Pu after structural relaxation at the PBE level of DFT.

Properties
For the final energy, the calculation gives -5.393 eV per atom. The energy of formation from the pure elements is 0.3993 eV per atom.

Structure (extended XYZ):
```
16
Lattice="6.9058 0.0000 0.0000 0.0000 12.0410 0.0000 -3.3886 0.0000 5.9914" Properties=species:S:1:pos:R:3 pbc="T T T"
Tb 0.0000 0.0000 0.0000
Tb 3.4529 6.0205 0.0000
Er -0.9143 3.3560 4.4753
Er -0.9143 8.6850 4.4753
Er 0.7508 6.0205 1.5599
Er -0.6865 0.0000 4.4315
Er 0.9786 2.6645 1.5161
Er 0.9786 9.3765 1.5161
Er 2.5386 2.6645 4.4753
Er 2.5386 9.3765 4.4753
Er 4.2037 0.0000 1.5599
Er 2.7664 6.0205 4.4315
Er 4.4315 3.3560 1.5161
Er 4.4315 8.6850 1.5161
Pu -1.6943 6.0205 2.9957
Pu 1.7586 0.0000 2.9957
```

Computed, not measured: Tb2ErPu after structural relaxation at the PBE level of DFT.

Properties
For the final energy, the calculation gives -6.901 eV per atom. The energy of formation from the pure elements is 0.1375 eV per atom.

Structure (extended XYZ):
```
4
Lattice="4.9600 0.0000 0.0000 0.0000 4.9600 0.0000 0.0000 0.0000 4.9490" Properties=species:S:1:pos:R:3 pbc="T T T"
Tb 0.0000 2.4800 0.0000
Tb 2.4800 0.0000 0.0000
Er 0.0000 0.0000 2.4745
Pu 2.4800 2.4800 2.4745
```

Computed, not measured: Tb2ErPu after structural relaxation at the PBE level of DFT.

Properties
For the final energy, the calculation gives -6.944 eV per atom. The energy of formation from the pure elements is 0.0951 eV per atom.

Structure (extended XYZ):
```
12
Lattice="3.5375 0.0000 0.0000 -1.7687 3.0636 0.0000 0.0000 0.0000 33.9681" Properties=species:S:1:pos:R:3 pbc="T T T"
Tb 0.0000 0.0000 0.0000
Tb 0.0000 0.0000 5.7068
Tb 0.0000 2.0424 22.6454
Tb 0.0000 2.0424 28.3522
Tb 1.7687 1.0212 11.3227
Tb 1.7687 1.0212 17.0295
Er 0.0000 0.0000 25.4849
Er 0.0000 2.0424 14.1622
Er 1.7687 1.0212 2.8395
Pu 0.0000 0.0000 19.8496
Pu 0.0000 2.0424 8.5269
Pu 1.7687 1.0212 31.1722
```

Computed, not measured: Tb5Er12Pu after structural relaxation at the PBE level of DFT.

Properties
For the final energy, the calculation gives -5.092 eV per atom. The energy of formation from the pure elements is 0.0328 eV per atom.

Structure (extended XYZ):
```
18
Lattice="9.1211 -5.2653 0.0000 9.1211 5.2653 0.0000 -2.0232 0.0000 5.7423" Properties=species:S:1:pos:R:3 pbc="T T T"
Tb 0.0000 0.0000 0.0000
Tb 2.0328 0.0000 2.8825
Tb 6.0923 0.0000 0.0396
Tb 10.1266 0.0000 5.7026
Tb 14.1861 0.0000 2.8597
Er 3.0438 1.7554 0.0083
Er 13.1752 -1.7554 5.7340
Er 5.0918 1.7460 2.8744
Er 8.1095 3.4782 2.8711
Er 3.0438 -1.7554 0.0083
Er 9.1211 1.7320 0.0000
Er 5.0918 -1.7460 2.8744
Er 11.1272 1.7460 2.8679
Er 9.1211 -1.7320 0.0000
Er 13.1752 1.7554 5.7340
Er 8.1095 -3.4782 2.8711
Er 11.1272 -1.7460 2.8679
Pu 8.1095 0.0000 2.8711
```

Computed, not measured: Tb2ErPu after structural relaxation at the PBE level of DFT.

Properties
For the final energy, the calculation gives -6.941 eV per atom. The energy of formation from the pure elements is 0.0982 eV per atom.

Structure (extended XYZ):
```
4
Lattice="3.4904 0.0000 0.0000 0.0000 3.4904 0.0000 0.0000 0.0000 9.9998" Properties=species:S:1:pos:R:3 pbc="T T T"
Tb 0.0000 0.0000 2.4655
Tb 0.0000 0.0000 7.5343
Er 1.7452 1.7452 4.9999
Pu 1.7452 1.7452 0.0000
```

Computed, not measured: TbEr3Pu2Te6 after structural relaxation at the PBE level of DFT.

Properties
The formation energy without anion corrections comes out at -1.2149 eV/atom. For the final energy, the calculation gives -6.701 eV per atom.

Structure (extended XYZ):
```
12
Lattice="9.5289 -2.1710 0.0000 9.5289 2.1710 0.0000 -2.0871 0.0000 8.5152" Properties=species:S:1:pos:R:3 pbc="T T T"
Tb 0.0000 0.0000 0.0000
Er -1.0435 0.0000 4.2576
Er 5.9914 0.0000 1.4133
Er 10.9793 0.0000 7.1020
Pu 4.9762 0.0000 5.6843
Pu 11.9945 0.0000 2.8309
Te 1.9212 0.0000 5.0036
Te 3.0229 0.0000 0.6644
Te 8.9527 0.0000 2.1447
Te 8.0180 0.0000 6.3706
Te 13.9478 0.0000 7.8508
Te 15.0495 0.0000 3.5116
```

Computed, not measured: TbEr3Pu3Te8 after structural relaxation at the PBE level of DFT.

Properties
The formation energy without anion corrections comes out at -1.2530 eV/atom. For the final energy, the calculation gives -7.016 eV per atom.

Structure (extended XYZ):
```
15
Lattice="4.3594 2.5169 7.1612 -4.3594 2.5169 7.1612 0.0000 -5.0338 7.1612" Properties=species:S:1:pos:R:3 pbc="T T T"
Tb 0.0000 0.0000 0.0000
Er -2.1797 -1.2584 7.1612
Er -2.1797 1.2584 14.3224
Er 0.0000 2.5169 7.1612
Pu -4.3594 0.0000 10.7418
Pu -2.1797 1.2584 3.5806
Pu 2.1797 1.2584 3.5806
Te 0.0000 0.0000 5.4200
Te 0.0000 -2.4451 8.9352
Te -2.1175 1.2226 8.9352
Te -2.1175 -1.2226 12.5484
Te 2.1175 1.2226 8.9352
Te 2.1175 -1.2226 12.5484
Te 0.0000 2.4451 12.5484
Te 0.0000 0.0000 16.0636
```

Computed, not measured: Tb3Er6PuTh2 after structural relaxation at the PBE level of DFT.

Properties
For the final energy, the calculation gives -5.806 eV per atom. The energy of formation from the pure elements is 0.0637 eV per atom.

Structure (extended XYZ):
```
12
Lattice="-2.5049 4.9325 7.5367 2.5049 -4.9325 7.5367 2.5049 4.9325 -7.5367" Properties=species:S:1:pos:R:3 pbc="T T T"
Tb 0.0000 0.0000 0.0000
Tb 0.0000 0.0000 5.0257
Tb 0.0000 0.0000 10.0477
Er 2.5049 -2.4573 5.0297
Er 2.5049 2.4800 0.0000
Er 0.0000 2.4752 2.5069
Er 2.5049 2.4573 5.0297
Er 0.0000 2.4525 7.5367
Er 0.0000 7.3898 2.5069
Pu 0.0000 4.9325 0.0000
Th 2.5049 0.0000 2.5154
Th 0.0000 4.9325 5.0213
```

Computed, not measured: Tb3Er2Tm6Pu after structural relaxation at the PBE level of DFT.

Properties
For the final energy, the calculation gives -5.306 eV per atom. The energy of formation from the pure elements is 0.0419 eV per atom.

Structure (extended XYZ):
```
12
Lattice="3.0306 -5.2488 0.0000 3.0306 5.2488 0.0000 -2.0235 0.0000 11.3705" Properties=species:S:1:pos:R:3 pbc="T T T"
Tb 0.0000 0.0000 0.0000
Tb 3.0306 1.7568 0.0000
Tb 3.0306 -1.7568 0.0000
Er 2.0189 3.5000 5.6853
Er 2.0189 -3.5000 5.6853
Tm 1.0211 1.7291 2.8772
Tm 0.0207 0.0000 8.4945
Tm 1.0211 -1.7291 2.8772
Tm 3.0166 1.7291 8.4933
Tm 4.0171 0.0000 2.8760
Tm 3.0166 -1.7291 8.4933
Pu 2.0189 0.0000 5.6853
```

Computed, not measured: Tb2Er3Tm6Pu after structural relaxation at the PBE level of DFT.

Properties
For the final energy, the calculation gives -5.298 eV per atom. The energy of formation from the pure elements is 0.0446 eV per atom.

Structure (extended XYZ):
```
12
Lattice="3.0284 -5.2468 0.0000 3.0284 5.2468 0.0000 -2.0223 0.0000 11.3596" Properties=species:S:1:pos:R:3 pbc="T T T"
Tb 3.0284 3.4990 0.0000
Tb 3.0284 -3.4990 0.0000
Er -1.0112 0.0000 5.6798
Er 2.0173 1.7549 5.6798
Er 2.0173 -1.7549 5.6798
Tm 0.0085 1.7287 8.5270
Tm 1.0322 0.0000 2.8347
Tm 0.0085 -1.7287 8.5270
Tm 4.0260 1.7287 2.8327
Tm 3.0023 0.0000 8.5250
Tm 4.0260 -1.7287 2.8327
Pu 3.0284 0.0000 0.0000
```

Computed, not measured: Tb3Er6Tm2Pu after structural relaxation at the PBE level of DFT.

Properties
For the final energy, the calculation gives -5.337 eV per atom. The energy of formation from the pure elements is 0.0417 eV per atom.

Structure (extended XYZ):
```
12
Lattice="3.0360 -5.2575 0.0000 3.0360 5.2575 0.0000 -2.0256 0.0000 11.4070" Properties=species:S:1:pos:R:3 pbc="T T T"
Tb 0.0000 0.0000 0.0000
Tb 3.0360 1.7588 0.0000
Tb 3.0360 -1.7588 0.0000
Er 1.0211 1.7338 2.8903
Er 0.0203 0.0000 8.5183
Er 1.0211 -1.7338 2.8903
Er 3.0252 1.7338 8.5167
Er 4.0261 0.0000 2.8887
Er 3.0252 -1.7338 8.5167
Tm 2.0232 3.5060 5.7035
Tm 2.0232 -3.5060 5.7035
Pu 2.0232 0.0000 5.7035
```

Computed, not measured: Tb2Y3Er6Pu after structural relaxation at the PBE level of DFT.

Properties
For the final energy, the calculation gives -5.817 eV per atom. The energy of formation from the pure elements is 0.0465 eV per atom.

Structure (extended XYZ):
```
12
Lattice="3.0520 -5.2870 0.0000 3.0520 5.2870 0.0000 -2.0393 0.0000 11.4600" Properties=species:S:1:pos:R:3 pbc="T T T"
Tb 3.0520 3.5259 0.0000
Tb 3.0520 -3.5259 0.0000
Y -1.0197 0.0000 5.7300
Y 2.0323 1.7682 5.7300
Y 2.0323 -1.7682 5.7300
Er 0.0106 1.7410 8.6240
Er 1.0385 0.0000 2.8375
Er 0.0106 -1.7410 8.6240
Er 4.0540 1.7410 2.8361
Er 3.0261 0.0000 8.6225
Er 4.0540 -1.7410 2.8361
Pu 3.0520 0.0000 0.0000
```

Computed, not measured: Tb2Y6Er3Pu after structural relaxation at the PBE level of DFT.

Properties
For the final energy, the calculation gives -6.288 eV per atom. The energy of formation from the pure elements is 0.0507 eV per atom.

Structure (extended XYZ):
```
12
Lattice="3.0682 -5.3153 0.0000 3.0682 5.3153 0.0000 -2.0503 0.0000 11.5260" Properties=species:S:1:pos:R:3 pbc="T T T"
Tb 3.0682 3.5442 0.0000
Tb 3.0682 -3.5442 0.0000
Y 0.0081 1.7536 8.6504
Y 1.0410 0.0000 2.8766
Y 0.0081 -1.7536 8.6504
Y 4.0779 1.7536 2.8756
Y 3.0450 0.0000 8.6494
Y 4.0779 -1.7536 2.8756
Er -1.0252 0.0000 5.7630
Er 2.0430 1.7766 5.7630
Er 2.0430 -1.7766 5.7630
Pu 3.0682 0.0000 0.0000
```

Computed, not measured: Tb3Y2Er6Pu after structural relaxation at the PBE level of DFT.

Properties
For the final energy, the calculation gives -5.665 eV per atom. The energy of formation from the pure elements is 0.0460 eV per atom.

Structure (extended XYZ):
```
12
Lattice="3.0499 -5.2827 0.0000 3.0499 5.2827 0.0000 -2.0377 0.0000 11.4502" Properties=species:S:1:pos:R:3 pbc="T T T"
Tb 0.0000 0.0000 0.0000
Tb 3.0499 1.7678 0.0000
Tb 3.0499 -1.7678 0.0000
Y 2.0311 3.5227 5.7251
Y 2.0311 -3.5227 5.7251
Er 1.0274 1.7378 2.8806
Er 0.0240 0.0000 8.5709
Er 1.0274 -1.7378 2.8806
Er 3.0347 1.7378 8.5696
Er 4.0381 0.0000 2.8792
Er 3.0347 -1.7378 8.5696
Pu 2.0311 0.0000 5.7251
```

Computed, not measured: ErPuTc2 after structural relaxation at the PBE level of DFT.

Properties
For the final energy, the calculation gives -9.902 eV per atom. The energy of formation from the pure elements is 0.0042 eV per atom.

Structure (extended XYZ):
```
16
Lattice="6.7431 0.0000 0.0000 0.0000 6.7431 0.0000 0.0000 0.0000 6.7431" Properties=species:S:1:pos:R:3 pbc="T T T"
Er 0.0000 0.0000 0.0000
Er 0.0000 3.3716 3.3716
Er 3.3716 0.0000 3.3716
Er 3.3716 3.3716 0.0000
Pu 0.0000 0.0000 3.3716
Pu 0.0000 3.3716 0.0000
Pu 3.3716 0.0000 0.0000
Pu 3.3716 3.3716 3.3716
Tc 1.6858 1.6858 1.6858
Tc 1.6858 1.6858 5.0573
Tc 1.6858 5.0573 1.6858
Tc 1.6858 5.0573 5.0573
Tc 5.0573 1.6858 1.6858
Tc 5.0573 1.6858 5.0573
Tc 5.0573 5.0573 1.6858
Tc 5.0573 5.0573 5.0573
```

Computed, not measured: Er2PuTc after structural relaxation at the PBE level of DFT.

Properties
For the final energy, the calculation gives -8.134 eV per atom. The energy of formation from the pure elements is 0.3224 eV per atom.

Structure (extended XYZ):
```
12
Lattice="3.3466 0.0000 0.0000 -1.6733 2.8983 0.0000 0.0000 0.0000 32.0948" Properties=species:S:1:pos:R:3 pbc="T T T"
Er 0.0000 0.0000 3.3120
Er 0.0000 0.0000 28.7828
Er 0.0000 1.9322 18.0846
Er 0.0000 1.9322 24.7085
Er 1.6733 0.9661 7.3863
Er 1.6733 0.9661 14.0103
Pu 0.0000 0.0000 0.0000
Pu 0.0000 1.9322 21.3966
Pu 1.6733 0.9661 10.6983
Tc 0.0000 0.0000 16.0474
Tc 0.0000 1.9322 5.3492
Tc 1.6733 0.9661 26.7457
```

Computed, not measured: ErPuTc2 after structural relaxation at the PBE level of DFT.

Properties
For the final energy, the calculation gives -9.929 eV per atom. The energy of formation from the pure elements is -0.0227 eV per atom.

Structure (extended XYZ):
```
4
Lattice="3.3521 0.0000 0.0000 0.0000 3.3521 0.0000 0.0000 0.0000 6.8903" Properties=species:S:1:pos:R:3 pbc="T T T"
Er 0.0000 0.0000 0.0000
Pu 0.0000 0.0000 3.4451
Tc 1.6761 1.6761 1.9286
Tc 1.6761 1.6761 4.9617
```

Computed, not measured: Er2PuTc after structural relaxation at the PBE level of DFT.

Properties
For the final energy, the calculation gives -8.401 eV per atom. The energy of formation from the pure elements is 0.0547 eV per atom.

Structure (extended XYZ):
```
4
Lattice="3.4068 0.0000 0.0000 0.0000 3.4068 0.0000 0.0000 0.0000 8.5808" Properties=species:S:1:pos:R:3 pbc="T T T"
Er 0.0000 0.0000 1.6398
Er 0.0000 0.0000 6.9410
Pu 1.7034 1.7034 4.2904
Tc 1.7034 1.7034 0.0000
```

Computed, not measured: Er2PuTc after structural relaxation at the PBE level of DFT.

Properties
For the final energy, the calculation gives -8.563 eV per atom. The energy of formation from the pure elements is -0.1067 eV per atom.

Structure (extended XYZ):
```
16
Lattice="7.1311 0.0000 0.0000 0.0000 9.3400 0.0000 0.0000 0.0000 6.2033" Properties=species:S:1:pos:R:3 pbc="T T T"
Er 1.2594 0.6049 1.0535
Er 1.2594 4.0651 1.0535
Er 2.3061 5.2750 4.1551
Er 2.3061 8.7351 4.1551
Er 4.8250 0.6049 2.0482
Er 4.8250 4.0651 2.0482
Er 5.8716 5.2750 5.1499
Er 5.8716 8.7351 5.1499
Pu 0.3232 2.3350 4.0318
Pu 3.2424 7.0050 0.9301
Pu 3.8887 2.3350 5.2732
Pu 6.8079 7.0050 2.1716
Tc 0.9573 7.0050 0.0097
Tc 2.6082 2.3350 3.1113
Tc 4.5229 7.0050 3.0920
Tc 6.1737 2.3350 6.1936
```

Computed, not measured: Er4Pu3Te8 after structural relaxation at the PBE level of DFT.

Properties
The formation energy without anion corrections comes out at -1.2319 eV/atom. For the final energy, the calculation gives -6.991 eV per atom.

Structure (extended XYZ):
```
15
Lattice="6.1586 -6.1712 0.0000 6.1586 6.1712 0.0000 -6.1358 0.0000 6.1723" Properties=species:S:1:pos:R:3 pbc="T T T"
Er 0.0000 0.0000 0.0000
Er -3.0679 0.0000 3.0861
Er 3.0793 3.0856 0.0000
Er 3.0793 -3.0856 0.0000
Pu 0.0114 3.0856 3.0861
Pu 0.0114 -3.0856 3.0861
Pu 3.0907 0.0000 3.0861
Te 3.0907 3.1185 3.0861
Te -0.0316 0.0000 3.1006
Te -3.0193 0.0000 6.1363
Te 6.1586 3.0590 0.0000
Te 6.1586 -3.0590 0.0000
Te 9.2007 0.0000 0.0359
Te 6.2130 0.0000 3.0716
Te 3.0907 -3.1185 3.0861
```

Computed, not measured: Er3Pu2Te8 after structural relaxation at the PBE level of DFT.

Properties
The formation energy without anion corrections comes out at -1.0819 eV/atom. For the final energy, the calculation gives -6.273 eV per atom.

Structure (extended XYZ):
```
13
Lattice="7.8176 -4.2742 0.0000 7.8176 4.2742 0.0000 -2.2977 0.0000 7.0629" Properties=species:S:1:pos:R:3 pbc="T T T"
Er 0.0000 0.0000 0.0000
Er 6.6687 2.1070 3.5314
Er 6.6687 -2.1070 3.5314
Pu 2.0186 0.0000 5.8632
Pu 11.3188 0.0000 1.1997
Te 0.9307 0.0000 2.9064
Te 5.7494 2.1390 0.6275
Te 7.5881 2.1390 6.4354
Te 4.6665 0.0000 4.3288
Te 8.6710 0.0000 2.7341
Te 5.7494 -2.1390 0.6275
Te 7.5881 -2.1390 6.4354
Te 12.4068 0.0000 4.1565
```

Computed, not measured: Er2PuTe after structural relaxation at the PBE level of DFT.

Properties
The formation energy without anion corrections comes out at -0.3654 eV/atom. For the final energy, the calculation gives -7.015 eV per atom.

Structure (extended XYZ):
```
4
Lattice="4.7757 0.0000 0.0000 0.0000 4.7757 0.0000 0.0000 0.0000 4.6449" Properties=species:S:1:pos:R:3 pbc="T T T"
Er 0.0000 2.3878 0.0000
Er 2.3878 0.0000 0.0000
Pu 0.0000 0.0000 2.3224
Te 2.3878 2.3878 2.3224
```

Computed, not measured: Er4PuTe5 after structural relaxation at the PBE level of DFT.

Properties
The formation energy without anion corrections comes out at -1.2088 eV/atom. For the final energy, the calculation gives -6.038 eV per atom.

Structure (extended XYZ):
```
10
Lattice="7.2337 -2.1601 0.0000 7.2337 2.1601 0.0000 -5.2560 0.0000 9.2448" Properties=species:S:1:pos:R:3 pbc="T T T"
Er -0.6594 0.0000 3.6581
Er 3.2678 0.0000 1.8288
Er 5.9437 0.0000 7.4160
Er 9.8708 0.0000 5.5867
Pu 7.2337 0.0000 0.0000
Te -3.2327 0.0000 8.2987
Te 0.6380 0.0000 6.4174
Te 4.6057 0.0000 4.6224
Te 8.5735 0.0000 2.8274
Te 12.4441 0.0000 0.9461
```